Entry 1:
Density functional theory data (SCAN) for a crystal of Tl2CuRe relaxed with PBEsol.

```
data_Tl2CuRe
_symmetry_space_group_name_H-M 'P 4/m m m'
_symmetry_Int_Tables_number 123
_symmetry_space_group_name_Hall '-P 4 2'
_cell_length_a 4.612
_cell_length_b 4.612
_cell_length_c 3.325
_cell_angle_alpha 90.00
_cell_angle_beta 90.00
_cell_angle_gamma 90.00
loop_
_atom_site_label
_atom_site_type_symbol
_atom_site_fract_x
_atom_site_fract_y
_atom_site_fract_z
Tl1 Tl 0.000 0.500 0.000
Cu1 Cu 0.000 0.000 0.500
Re1 Re 0.500 0.500 0.500
```

As for the density: 15.5 g/cm3. The calculated total energy comes out at -56.774 eV per atom. The crystal system is tetragonal. The formation energy comes out at 980 meV per atom.

Entry 2:
Density functional theory data (SCAN) for a crystal of TlCu2Re relaxed with PBEsol.

```
data_TlCu2Re
_symmetry_space_group_name_H-M 'C 1 2/m 1'
_symmetry_Int_Tables_number 12
_cell_length_a 9.001
_cell_length_b 2.782
_cell_length_c 4.978
_cell_angle_alpha 90.00
_cell_angle_beta 99.19
_cell_angle_gamma 90.00
loop_
_symmetry_equiv_pos_as_xyz
'x,y,z'
'-x,-y,-z'
'-x,y,-z'
'x,-y,z'
'x+1/2,y+1/2,z'
'-x+1/2,-y+1/2,-z'
'-x+1/2,y+1/2,-z'
'x+1/2,-y+1/2,z'
loop_
_atom_site_label
_atom_site_type_symbol
_atom_site_fract_x
_atom_site_fract_y
_atom_site_fract_z
Tl1 Tl 0.000 0.000 0.000
Cu1 Cu 0.241 0.000 0.703
Re1 Re 0.000 0.500 0.500
```

As for the density: 14.0 g/cm3. The calculated total energy comes out at -42.772 eV per atom. The crystal system is monoclinic. The formation energy comes out at 691 meV per atom.

Entry 3:
Density functional theory data (SCAN) for a crystal of Tl2CuRe relaxed with PBEsol.

```
data_Tl2CuRe
_symmetry_space_group_name_H-M 'P 4 m m'
_symmetry_Int_Tables_number 99
_cell_length_a 2.894
_cell_length_b 2.894
_cell_length_c 9.348
_cell_angle_alpha 90.00
_cell_angle_beta 90.00
_cell_angle_gamma 90.00
loop_
_symmetry_equiv_pos_as_xyz
'x,y,z'
'-y,x,z'
'-x,-y,z'
'y,-x,z'
'-x,y,z'
'y,x,z'
'x,-y,z'
'-y,-x,z'
loop_
_atom_site_label
_atom_site_type_symbol
_atom_site_fract_x
_atom_site_fract_y
_atom_site_fract_z
Tl1 Tl 0.000 0.000 0.000
Tl2 Tl 0.500 0.500 0.341
Cu1 Cu 0.500 0.500 0.759
Re1 Re 0.000 0.000 0.593
```

As for the density: 14.0 g/cm3. The calculated total energy comes out at -57.032 eV per atom. The crystal system is tetragonal. The formation energy comes out at 721 meV per atom.

Entry 4:
Density functional theory data (SCAN) for a crystal of TlCu2Re relaxed with PBEsol.

```
data_TlCu2Re
_symmetry_space_group_name_H-M 'P 4/m m m'
_symmetry_Int_Tables_number 123
_symmetry_space_group_name_Hall '-P 4 2'
_cell_length_a 4.020
_cell_length_b 4.020
_cell_length_c 3.601
_cell_angle_alpha 90.00
_cell_angle_beta 90.00
_cell_angle_gamma 90.00
loop_
_atom_site_label
_atom_site_type_symbol
_atom_site_fract_x
_atom_site_fract_y
_atom_site_fract_z
Tl1 Tl 0.000 0.000 0.000
Cu1 Cu 0.000 0.500 0.500
Re1 Re 0.500 0.500 0.000
```

As for the density: 14.8 g/cm3. The calculated total energy comes out at -42.796 eV per atom. The crystal system is tetragonal. The formation energy comes out at 668 meV per atom.

Entry 5:
Density functional theory data (SCAN) for a crystal of Tl2CuRe relaxed with PBEsol.

```
data_Tl2CuRe
_symmetry_space_group_name_H-M 'P m m m'
_symmetry_Int_Tables_number 47
_cell_length_a 2.887
_cell_length_b 4.788
_cell_length_c 5.384
_cell_angle_alpha 90.00
_cell_angle_beta 90.00
_cell_angle_gamma 90.00
loop_
_symmetry_equiv_pos_as_xyz
'x,y,z'
'-x,-y,-z'
'-x,-y,z'
'x,y,-z'
'x,-y,-z'
'-x,y,z'
'-x,y,-z'
'x,-y,z'
loop_
_atom_site_label
_atom_site_type_symbol
_atom_site_fract_x
_atom_site_fract_y
_atom_site_fract_z
Tl1 Tl 0.000 0.000 0.000
Tl2 Tl 0.500 0.000 0.500
Cu1 Cu 0.000 0.500 0.500
Re1 Re 0.500 0.500 0.000
```

As for the density: 14.7 g/cm3. The calculated total energy comes out at -56.746 eV per atom. The crystal system is orthorhombic. The formation energy comes out at 1007 meV per atom.

Entry 6:
Density functional theory data (SCAN) for a crystal of TlCu2Re relaxed with PBEsol.

```
data_TlCu2Re
_symmetry_space_group_name_H-M 'P 1 2/m 1'
_symmetry_Int_Tables_number 10
_cell_length_a 2.786
_cell_length_b 3.794
_cell_length_c 5.688
_cell_angle_alpha 90.00
_cell_angle_beta 90.08
_cell_angle_gamma 90.00
loop_
_symmetry_equiv_pos_as_xyz
'x,y,z'
'-x,-y,-z'
'-x,y,-z'
'x,-y,z'
loop_
_atom_site_label
_atom_site_type_symbol
_atom_site_fract_x
_atom_site_fract_y
_atom_site_fract_z
Tl1 Tl 0.000 0.000 0.000
Cu1 Cu 0.499 0.500 0.285
Re1 Re 0.000 0.000 0.500
```

As for the density: 14.3 g/cm3. The calculated total energy comes out at -42.823 eV per atom. The crystal system is monoclinic. The formation energy comes out at 641 meV per atom.

Entry 7:
Density functional theory data (SCAN) for a crystal of Cu2ReW relaxed with PBEsol.

```
data_Cu2ReW
_symmetry_space_group_name_H-M 'I 4/m m m'
_symmetry_Int_Tables_number 139
_symmetry_space_group_name_Hall '-I 4 2'
_cell_length_a 3.659
_cell_length_b 3.659
_cell_length_c 7.956
_cell_angle_alpha 90.00
_cell_angle_beta 90.00
_cell_angle_gamma 90.00
loop_
_atom_site_label
_atom_site_type_symbol
_atom_site_fract_x
_atom_site_fract_y
_atom_site_fract_z
Cu1 Cu 0.000 0.500 0.250
Re1 Re 0.000 0.000 0.000
W1 W 0.000 0.000 0.500
```

As for the density: 15.5 g/cm3. The calculated total energy comes out at -42.518 eV per atom. The crystal system is tetragonal. The formation energy comes out at 278 meV per atom.

Entry 8:
Density functional theory data (SCAN) for a crystal of Cu2ReW relaxed with PBEsol.

```
data_Cu2ReW
_symmetry_space_group_name_H-M 'F -4 3 m'
_symmetry_Int_Tables_number 216
_symmetry_space_group_name_Hall 'F -4 2 3'
_cell_length_a 6.023
_cell_length_b 6.023
_cell_length_c 6.023
_cell_angle_alpha 90.00
_cell_angle_beta 90.00
_cell_angle_gamma 90.00
loop_
_atom_site_label
_atom_site_type_symbol
_atom_site_fract_x
_atom_site_fract_y
_atom_site_fract_z
Cu1 Cu 0.000 0.000 0.000
Cu2 Cu 0.250 0.250 0.250
Re1 Re 0.250 0.250 0.750
W1 W 0.000 0.000 0.500
```

As for the density: 15.1 g/cm3. The calculated total energy comes out at -42.428 eV per atom. The crystal system is cubic. The formation energy comes out at 368 meV per atom.

Entry 9:
Density functional theory data (SCAN) for a crystal of CuReW relaxed with PBEsol.

```
data_CuReW
_symmetry_space_group_name_H-M 'I 4 m m'
_symmetry_Int_Tables_number 107
_symmetry_space_group_name_Hall 'I 4 -2'
_cell_length_a 3.220
_cell_length_b 3.220
_cell_length_c 8.162
_cell_angle_alpha 90.00
_cell_angle_beta 90.00
_cell_angle_gamma 90.00
loop_
_atom_site_label
_atom_site_type_symbol
_atom_site_fract_x
_atom_site_fract_y
_atom_site_fract_z
Cu1 Cu 0.000 0.000 0.000
Re1 Re 0.000 0.000 0.331
W1 W 0.000 0.000 0.668
```

As for the density: 17.0 g/cm3. The calculated total energy comes out at -51.802 eV per atom. The crystal system is tetragonal. The formation energy comes out at 193 meV per atom.

Entry 10:
Density functional theory data (SCAN) for a crystal of Cu2ReW relaxed with PBEsol.

```
data_Cu2ReW
_symmetry_space_group_name_H-M 'R 3 m'
_symmetry_Int_Tables_number 160
_symmetry_space_group_name_Hall 'R 3 -2"'
_cell_length_a 2.6830
_cell_length_b 2.6830
_cell_length_c 26.2949
_cell_angle_alpha 90.00
_cell_angle_beta 90.00
_cell_angle_gamma 120.00
loop_
_atom_site_label
_atom_site_type_symbol
_atom_site_fract_x
_atom_site_fract_y
_atom_site_fract_z
Cu1 Cu 0.0000 0.0000 0.0000
Cu2 Cu 0.0000 0.0000 0.2573
Re1 Re 0.0000 0.0000 0.5078
W1 W 0.0000 0.0000 0.7514
```

As for the density: 15.1 g/cm3. The calculated total energy comes out at -42.493 eV per atom. The crystal system is trigonal. The formation energy comes out at 303 meV per atom.

Entry 11:
Density functional theory data (SCAN) for a crystal of Y2CuRe relaxed with PBEsol.

```
data_Y2CuRe
_symmetry_space_group_name_H-M 'R -3 m'
_symmetry_Int_Tables_number 166
_symmetry_space_group_name_Hall '-R 3 2"'
_cell_length_a 3.3526
_cell_length_b 3.3526
_cell_length_c 25.6024
_cell_angle_alpha 90.00
_cell_angle_beta 90.00
_cell_angle_gamma 120.00
loop_
_atom_site_label
_atom_site_type_symbol
_atom_site_fract_x
_atom_site_fract_y
_atom_site_fract_z
Y1 Y 0.0000 0.0000 0.2478
Cu1 Cu 0.0000 0.0000 0.0000
Re1 Re 0.0000 0.0000 0.5000
```

As for the density: 8.5 g/cm3. The calculated total energy comes out at -35.119 eV per atom. The crystal system is trigonal. The formation energy comes out at 377 meV per atom.

Entry 12:
Density functional theory data (SCAN) for a crystal of ZnCu2Re relaxed with PBEsol.

```
data_ZnCu2Re
_symmetry_space_group_name_H-M 'C m m m'
_symmetry_Int_Tables_number 65
_symmetry_space_group_name_Hall '-C 2 2'
_cell_length_a 3.648
_cell_length_b 3.661
_cell_length_c 7.593
_cell_angle_alpha 90.00
_cell_angle_beta 90.00
_cell_angle_gamma 90.00
loop_
_atom_site_label
_atom_site_type_symbol
_atom_site_fract_x
_atom_site_fract_y
_atom_site_fract_z
Zn1 Zn 0.000 0.000 0.000
Cu1 Cu 0.000 0.500 0.242
Re1 Re 0.000 0.000 0.500
```

As for the density: 12.4 g/cm3. The calculated total energy comes out at -28.635 eV per atom. The crystal system is orthorhombic. The formation energy comes out at 118 meV per atom.

Number 1: total moment 0.00 Bohr magnetons per cell. Number 2: total moment 0.00 Bohr magnetons per cell. Number 3: total moment 0.00 Bohr magnetons per cell. Number 4: total moment 0.00 Bohr magnetons per cell. Number 5: total moment 0.00 Bohr magnetons per cell. Number 6: total moment 0.00 Bohr magnetons per cell. Number 7: total moment 0.00 Bohr magnetons per cell. Number 8: total moment 0.00 Bohr magnetons per cell. Number 9: total moment 0.00 Bohr magnetons per cell. Number 10: total moment 0.00 Bohr magnetons per cell. Number 11: total moment 0.00 Bohr magnetons per cell. Number 12: total moment 0.00 Bohr magnetons per cell.